HfTePbO5 GGA-PBE optimized geometry; formation energy from raw total energies = -1903.2 meV per atom; space-group type = C2/c
1.0
6.110 0.301 -0.285
-1.496 5.932 -0.285
-2.253 -3.043 7.496
Hf Te Pb O
2 2 2 10
direct
0.000 0.000 0.500
0.000 0.000 0.000
0.713 0.287 0.250
0.287 0.713 0.750
0.295 0.705 0.250
0.705 0.295 0.750
0.032 0.968 0.250
0.968 0.032 0.750
0.890 0.312 0.069
0.110 0.688 0.931
0.688 0.110 0.431
0.312 0.890 0.569
0.776 0.630 0.386
0.224 0.370 0.614
0.370 0.224 0.114
0.630 0.776 0.886


HfTi2CdO GGA-PBE optimized geometry; formation energy from raw total energies = -1011.4 meV per atom; polymorph energy (0 for the lowest one) = 0.0 kJ/mol of atoms; space-group type = P4/mmm
1.0
4.181 0.000 0.000
0.000 4.496 0.000
0.000 0.000 4.181
Ti Hf O Cd
2 1 1 1
direct
0.000 0.000 0.500
0.500 0.000 0.000
0.000 0.500 0.000
0.000 0.000 0.000
0.500 0.500 0.500


Ni3Sn GGA-PBE optimized geometry; energy of formation from the pure elements = -68 kJ/mol of formula units; space-group type = Pmmn
1.0
-0.041 -2.281 3.610
4.288 -1.324 -0.788
1.805 4.238 2.698
Ni Sn
6 2
direct
0.750 0.693 0.250
0.250 0.834 0.002
0.750 0.166 0.998
0.250 0.834 0.498
0.750 0.166 0.502
0.250 0.307 0.750
0.750 0.668 0.750
0.250 0.332 0.250


Ho4Cd2InAg GGA-PBE optimized geometry; energy of formation from the pure elements = -271 kJ/mol of formula units; space-group type = R-3m
1.0
-2.917 -4.168 -1.260
1.441 -4.783 1.585
-5.039 -1.973 7.292
Ho Cd In Ag
4 2 1 1
direct
0.378 0.378 0.867
0.873 0.873 0.382
0.127 0.127 0.618
0.622 0.622 0.133
0.749 0.749 0.753
0.251 0.251 0.247
0.000 0.000 0.000
0.500 0.500 0.500


LiMgVPt2 GGA-PBE optimized geometry; energy of formation from the pure elements = 107 kJ/mol of formula units; space-group type = P4/mmm
1.0
-1.733 2.040 -3.403
1.508 -3.017 -2.576
-3.657 -2.261 0.507
Mg Li Pt V
1 1 2 1
direct
0.500 0.500 0.500
0.000 0.000 0.000
0.000 0.000 0.500
0.500 0.000 0.000
0.000 0.500 0.000


Cs2Pb2F5 GGA-PBE optimized geometry; formation energy from raw total energies = -2271.2 meV per atom; space-group type = C2/m
1.0
-3.055 3.420 -1.713
0.125 -6.349 -5.904
-3.982 -0.942 5.221
Cs Pb F
2 2 5
direct
0.375 0.749 0.696
0.625 0.251 0.304
0.091 0.182 0.772
0.909 0.818 0.228
0.417 0.834 0.222
0.583 0.166 0.778
0.183 0.366 0.595
0.817 0.634 0.405
0.000 0.000 0.000


Tb13Hg2 GGA-PBE optimized geometry; energy of formation from the pure elements = -127 kJ/mol of formula units; space-group type = P-1
1.0
6.325 -0.140 0.888
-0.999 8.410 0.323
0.600 -3.708 8.538
Tb Hg
13 2
direct
0.747 0.598 0.057
0.253 0.402 0.943
0.000 0.000 0.000
0.287 0.011 0.648
0.713 0.989 0.352
0.051 0.580 0.707
0.949 0.420 0.293
0.458 0.629 0.416
0.542 0.371 0.584
0.525 0.794 0.844
0.475 0.206 0.156
0.790 0.182 0.770
0.210 0.818 0.230
0.875 0.788 0.547
0.125 0.212 0.453


LiHgIr2 GGA-PBE optimized geometry; energy of formation from the pure elements = 157 kJ/mol of formula units; space-group type = P4/mmm
1.0
-0.505 -1.339 -2.711
-2.665 -1.101 1.040
-2.993 5.302 -2.061
Hg Ir Li
1 2 1
direct
0.500 0.500 0.750
0.000 0.000 0.049
0.000 0.000 0.451
0.500 0.500 0.250


Ba2SrGeH GGA-PBE optimized geometry; space-group type = P4/mmm
1.0
-4.851 -1.546 -1.685
-0.093 -3.815 3.768
-2.301 3.462 3.449
Sr Ge Ba H
1 1 2 1
direct
0.000 0.000 0.500
0.500 0.500 0.500
0.000 0.500 0.000
0.500 0.000 0.000
0.000 0.000 0.000


Pr4Tl5Sn GGA-PBE optimized geometry; energy of formation from the pure elements = -139 kJ/mol of formula units; space-group type = Pmmn
1.0
-1.544 -0.966 -7.803
9.183 -4.465 -1.264
-3.244 -7.102 1.521
Pr Tl Sn
8 10 2
direct
0.805 0.000 0.755
0.526 0.688 0.000
0.526 0.312 0.000
0.805 0.000 0.245
0.195 0.500 0.255
0.474 0.812 0.500
0.474 0.188 0.500
0.195 0.500 0.745
0.182 0.819 0.809
0.182 0.181 0.809
0.888 0.500 0.000
0.182 0.819 0.191
0.182 0.181 0.191
0.818 0.681 0.309
0.818 0.319 0.309
0.112 0.000 0.500
0.818 0.319 0.691
0.818 0.681 0.691
0.479 0.000 0.000
0.521 0.500 0.500


Ta3RuRh2 GGA-PBE optimized geometry; polymorph energy (0 for the lowest one) = 1.0 kJ/mol of atoms; energy of formation from the pure elements = -229 kJ/mol of formula units; space-group type = P4/mmm
1.0
2.940 0.000 0.000
0.000 2.940 0.000
0.000 0.000 11.144
Ta Ru Rh
3 1 2
direct
0.000 0.000 0.000
0.000 0.000 0.661
0.000 0.000 0.339
0.500 0.500 0.500
0.500 0.500 0.830
0.500 0.500 0.170


MgTlGa GGA-PBE optimized geometry; energy of formation from the pure elements = -5 kJ/mol of formula units; space-group type = P2_1/m
1.0
-1.081 -0.467 3.469
-2.968 -2.855 -1.310
5.907 -6.586 0.957
Mg Tl Ga
2 2 2
direct
0.250 0.750 0.239
0.750 0.250 0.761
0.249 0.750 0.618
0.751 0.250 0.382
0.751 0.750 0.979
0.249 0.250 0.021


Li3YBi2 GGA-PBE optimized geometry; polymorph energy (0 for the lowest one) = 0.0 kJ/mol of atoms; energy of formation from the pure elements = -387 kJ/mol of formula units; space-group type = P-3m1
1.0
4.668 0.000 0.000
-2.334 4.042 0.000
0.000 0.000 7.303
Li Y Bi
3 1 2
direct
0.667 0.333 0.348
0.333 0.667 0.652
0.000 0.000 0.500
0.000 0.000 0.000
0.667 0.333 0.753
0.333 0.667 0.247


AlTlOs2 GGA-PBE optimized geometry; polymorph energy (0 for the lowest one) = 37.1 kJ/mol of atoms; energy of formation from the pure elements = 236 kJ/mol of formula units; space-group type = Imm2
1.0
-2.233 -1.585 -4.842
0.129 -5.300 -1.683
-1.583 3.705 3.835
Tl Os Al
1 2 1
direct
0.499 0.499 0.000
0.003 0.003 0.000
0.771 0.271 0.500
0.226 0.726 0.500


MnGeBr3 GGA-PBE optimized geometry; formation energy from raw total energies = 33.4 meV per atom; polymorph energy (0 for the lowest one) = 11.8 kJ/mol of atoms; space-group type = Pm-3m
1.0
-3.258 -3.566 2.530
2.391 -4.095 -2.692
3.660 -0.500 4.010
Ge Mn Br
1 1 3
direct
0.000 0.000 0.000
0.500 0.500 0.500
0.000 0.500 0.000
0.000 0.000 0.500
0.500 0.000 0.000


CeBe4Ru GGA-PBE optimized geometry; energy of formation from the pure elements = -46 kJ/mol of formula units; space-group type = F-43m
1.0
4.736 0.000 0.000
2.368 4.101 0.000
2.368 1.367 3.867
Ru Ce Be
1 1 4
direct
0.000 0.000 0.000
0.250 0.250 0.250
0.629 0.629 0.113
0.629 0.113 0.629
0.629 0.629 0.629
0.113 0.629 0.629


KAlW GGA-PBE optimized geometry; polymorph energy (0 for the lowest one) = 2.8 kJ/mol of atoms; energy of formation from the pure elements = 226 kJ/mol of formula units; space-group type = P3m1
1.0
-2.694 1.000 -0.426
0.533 -2.851 -0.162
-1.577 -0.759 8.186
K Al W
1 1 1
direct
0.667 0.333 0.334
0.000 0.000 0.965
0.333 0.667 0.701


Hf2CuAgH GGA-PBE optimized geometry; space-group type = P4/mmm
1.0
-2.512 3.514 0.708
-2.485 -1.085 -3.436
-2.313 -2.126 2.344
H Hf Cu Ag
1 2 1 1
direct
0.000 0.000 0.000
0.000 0.500 0.000
0.500 0.000 0.000
0.000 0.000 0.500
0.500 0.500 0.500


Pr2SmSn2 GGA-PBE optimized geometry; polymorph energy (0 for the lowest one) = 0.0 kJ/mol of atoms; energy of formation from the pure elements = -339 kJ/mol of formula units; space-group type = P4/mbm
1.0
-0.290 -3.598 2.778
-0.063 -5.076 -6.582
8.295 -0.458 0.274
Pr Sm Sn
4 2 4
direct
0.500 0.172 0.672
0.500 0.672 0.828
0.500 0.828 0.328
0.500 0.328 0.172
0.000 0.000 0.000
0.000 0.500 0.500
0.000 0.371 0.871
0.000 0.871 0.629
0.000 0.629 0.129
0.000 0.129 0.371


PuCd2In2Ag2 GGA-PBE optimized geometry; energy of formation from the pure elements = -16 kJ/mol of formula units; space-group type = R-3m
1.0
4.797 0.000 0.000
2.399 4.154 0.000
2.399 1.385 8.228
Pu Cd In Ag
1 2 2 2
direct
0.000 0.000 0.000
0.137 0.137 0.588
0.863 0.863 0.412
0.734 0.734 0.799
0.266 0.266 0.201
0.575 0.575 0.274
0.425 0.425 0.726


| no. | VASP energy (eV per atom) | magnetic moment (μB/atom) |
| --- | --- | --- |
| 1 | -7.10 | 0.00 |
| 2 | -7.33 | 0.00 |
| 3 | -5.51 | 0.00 |
| 4 | -3.57 | 0.00 |
| 5 | -4.72 | 0.69 |
| 6 | -4.32 | 0.11 |
| 7 | -4.14 | 0.00 |
| 8 | -4.58 | 0.25 |
| 9 | -2.97 | 0.00 |
| 10 | -3.64 | 0.00 |
| 11 | -10.32 | 0.00 |
| 12 | -2.35 | 0.00 |
| 13 | -4.00 | 0.00 |
| 14 | -6.53 | 0.00 |
| 15 | -3.73 | 1.20 |
| 16 | -5.10 | 0.03 |
| 17 | -5.15 | 0.00 |
| 18 | -6.09 | 0.11 |
| 19 | -5.16 | 0.00 |
| 20 | -3.93 | 0.82 |